(1)
Here is a relaxed structure of NaUOsO6 from Alexandria. Energies are from GGA-PBE.

POSCAR file:
```
NaUOsO6
1.0
-3.6367 3.9121 5.3589
3.6367 -3.9121 5.3589
3.6367 3.9121 -5.3589
Na U Os O
2 2 2 12
direct
0.4411 0.1911 0.2500
0.5589 0.8089 0.7500
0.0000 0.5000 0.5000
0.5000 0.5000 0.0000
0.0000 0.0000 0.5000
0.0000 0.5000 0.0000
0.0384 0.7884 0.2500
0.0546 0.4209 0.2262
0.0546 0.8283 0.6337
0.3053 0.1717 0.7262
0.3053 0.5791 0.1337
0.3366 0.5866 0.7500
0.6634 0.4134 0.2500
0.6947 0.4209 0.8663
0.6947 0.8283 0.2738
0.9454 0.1717 0.3663
0.9454 0.5791 0.7738
0.9616 0.2116 0.7500
```

=====

(2)
Here is a relaxed structure of Na2UOsO6 from Alexandria. Energies are from GGA-PBE.

POSCAR file:
```
Na2UOsO6
1.0
5.7718 0.0000 0.0000
0.0000 5.7718 0.0000
0.0000 0.0000 4.0696
Na U Os O
2 1 1 6
direct
0.0000 0.5000 0.0000
0.5000 0.0000 0.0000
0.0000 0.0000 0.5050
0.5000 0.5000 0.5059
0.0000 0.0000 0.0052
0.2551 0.2551 0.5063
0.2551 0.7449 0.5063
0.5000 0.5000 0.0060
0.7449 0.2551 0.5063
0.7449 0.7449 0.5063
```

=====

| no. | E_tot (eV per atom) |
| --- | --- |
| 1 | -7.9460 |
| 2 | -7.4919 |